First-principles (PBE-GGA) data for a geometry-optimized LaPrRe structure, as listed in the Open Quantum Materials Database.

abc: 4.875 4.875 4.875
angles: 60.00 60.00 60.00
Fractional coordinates of all 3 atoms:
La (0.000, 0.000, 0.000)
Re (0.750, 0.750, 0.750)
Pr (0.250, 0.250, 0.250)

Computed properties:
ΔE_f: 1.132 eV/atom
Calculated total energy: -6.241 eV per atom
Symmetry: F-43m (216)

***

First-principles (PBE-GGA) data for a geometry-optimized ReN2 structure, as listed in the Open Quantum Materials Database.

abc: 2.885 4.808 5.605
angles: 90.00 120.94 90.00
Fractional coordinates of all 6 atoms:
Re (0.868, 0.750, 0.004)
N (0.507, 0.044, 0.710)
N (0.507, 0.956, 0.210)
N (0.095, 0.544, 0.797)
N (0.095, 0.456, 0.297)
Re (0.868, 0.250, 0.504)

Computed properties:
Calculated total energy: -9.449 eV per atom
Symmetry: P4_2nm (102)

***

First-principles (PBE-GGA) data for a geometry-optimized TbNdAgS3 structure, as listed in the Open Quantum Materials Database.

abc: 8.828 8.828 8.216
angles: 102.46 102.46 25.17
Fractional coordinates of all 12 atoms:
Tb (0.164, 0.164, 0.591)
S (0.671, 0.671, 0.349)
S (0.329, 0.329, 0.651)
S (0.686, 0.686, 0.844)
Nd (0.865, 0.865, 0.926)
S (0.000, 0.000, 0.500)
S (0.500, 0.500, 0.000)
Ag (0.529, 0.529, 0.717)
Nd (0.135, 0.135, 0.074)
Ag (0.471, 0.471, 0.283)
S (0.314, 0.314, 0.156)
Tb (0.836, 0.836, 0.409)

Computed properties:
Calculated total energy: -5.632 eV per atom
Symmetry: C2/m (12)

***

First-principles (PBE-GGA) data for a geometry-optimized Ba2ZrCuS6 structure, as listed in the Open Quantum Materials Database.

abc: 6.921 6.921 6.921
angles: 120.00 120.00 90.00
Fractional coordinates of all 10 atoms:
S (0.257, 0.743, 0.000)
Ba (0.250, 0.750, 0.500)
S (0.743, 0.743, 0.486)
S (0.743, 0.743, 0.000)
Cu (0.500, 0.500, 0.000)
S (0.743, 0.257, 0.000)
Zr (0.000, 0.000, 0.000)
S (0.257, 0.257, 0.514)
Ba (0.750, 0.250, 0.500)
S (0.257, 0.257, 0.000)

Computed properties:
Calculated total energy: -5.257 eV per atom
Symmetry: Fm-3m (225)

***

First-principles (PBE-GGA) data for a geometry-optimized Ho3CoTe5 structure, as listed in the Open Quantum Materials Database.

abc: 8.465 8.465 4.194
angles: 90.00 90.00 120.00
Fractional coordinates of all 9 atoms:
Ho (0.734, 0.734, 0.500)
Te (0.708, 0.000, 0.000)
Co (0.000, 0.000, 0.000)
Te (0.000, 0.708, 0.000)
Ho (0.000, 0.266, 0.500)
Te (0.333, 0.667, 0.500)
Ho (0.266, 0.000, 0.500)
Te (0.667, 0.333, 0.500)
Te (0.292, 0.292, 0.000)

Computed properties:
Polymorph energy (0 for the lowest one): 0.000 eV per atom
Calculated total energy: -4.890 eV per atom
Symmetry: P-62m (189)

***

First-principles (PBE-GGA) data for a geometry-optimized Y2Er3Tm2Ni2Te2 structure, as listed in the Open Quantum Materials Database.

abc: 9.280 9.280 9.280
angles: 156.25 66.92 118.47
Fractional coordinates of all 11 atoms:
Ni (0.643, 0.405, 0.238)
Er (0.412, 0.096, 0.315)
Er (0.477, 0.477, 0.000)
Ni (0.167, 0.405, 0.762)
Tm (0.393, 0.746, 0.647)
Y (0.027, 0.895, 0.131)
Er (0.781, 0.096, 0.685)
Tm (0.100, 0.746, 0.353)
Te (0.741, 0.241, 0.500)
Te (0.142, 0.142, 0.000)
Y (0.764, 0.895, 0.869)

Computed properties:
Polymorph energy (0 for the lowest one): 0.005 eV per atom
Calculated total energy: -5.494 eV per atom
Symmetry: Imm2 (44)

***

First-principles (PBE-GGA) data for a geometry-optimized TbGaW structure, as listed in the Open Quantum Materials Database.

abc: 4.536 4.536 4.536
angles: 60.00 60.00 60.00
Fractional coordinates of all 3 atoms:
Tb (0.250, 0.250, 0.250)
W (0.750, 0.750, 0.750)
Ga (0.000, 0.000, 0.000)

Computed properties:
Calculated total energy: -6.328 eV per atom
Symmetry: F-43m (216)

***

First-principles (PBE-GGA) data for a geometry-optimized CsPaPO structure, as listed in the Open Quantum Materials Database.

abc: 4.390 8.967 7.101
angles: 90.00 90.00 90.00
Fractional coordinates of all 8 atoms:
Pa (0.500, 0.394, 0.024)
P (0.000, 0.232, 0.939)
Cs (0.000, 0.162, 0.456)
Pa (0.500, 0.606, 0.524)
O (0.500, 0.413, 0.334)
P (0.000, 0.768, 0.439)
Cs (0.000, 0.838, 0.956)
O (0.500, 0.587, 0.834)

Computed properties:
Polymorph energy (0 for the lowest one): 0.000 eV per atom
Calculated total energy: -6.294 eV per atom
Symmetry: Pmc2_1 (26)

***

First-principles (PBE-GGA) data for a geometry-optimized Ac2PrCd3 structure, as listed in the Open Quantum Materials Database.

abc: 6.410 6.410 5.740
angles: 90.00 90.00 120.00
Fractional coordinates of all 6 atoms:
Ac (0.333, 0.667, 0.500)
Cd (0.500, 0.000, 0.000)
Pr (0.000, 0.000, 0.500)
Cd (0.000, 0.500, 0.000)
Ac (0.667, 0.333, 0.500)
Cd (0.500, 0.500, 0.000)

Computed properties:
ΔE_f: 0.029 eV/atom
Calculated total energy: -2.583 eV per atom
Symmetry: P6/mmm (191)

***

First-principles (PBE-GGA) data for a geometry-optimized Hf3SnO structure, as listed in the Open Quantum Materials Database.

abc: 6.039 6.039 9.110
angles: 90.00 90.00 147.91
Fractional coordinates of all 10 atoms:
Hf (0.631, 0.369, 0.538)
O (0.000, 0.000, 0.500)
Hf (0.369, 0.631, 0.462)
Sn (0.256, 0.744, 0.750)
Hf (0.369, 0.631, 0.038)
Hf (0.966, 0.034, 0.750)
Hf (0.631, 0.369, 0.962)
O (0.000, 0.000, 0.000)
Hf (0.034, 0.966, 0.250)
Sn (0.744, 0.256, 0.250)

Computed properties:
Calculated total energy: -8.893 eV per atom
Symmetry: Cmcm (63)

***

First-principles (PBE-GGA) data for a geometry-optimized ErHgTe structure, as listed in the Open Quantum Materials Database.

abc: 5.137 5.137 5.137
angles: 60.00 60.00 60.00
Fractional coordinates of all 3 atoms:
Er (0.250, 0.250, 0.250)
Hg (0.750, 0.750, 0.750)
Te (0.000, 0.000, 0.000)

Computed properties:
Calculated total energy: -3.019 eV per atom
Symmetry: F-43m (216)

***

First-principles (PBE-GGA) data for a geometry-optimized Ag2Pd2Au structure, as listed in the Open Quantum Materials Database.

abc: 6.952 6.952 6.952
angles: 148.40 148.40 45.30
Fractional coordinates of all 5 atoms:
Pd (0.401, 0.401, 0.000)
Au (0.000, 0.000, 0.000)
Ag (0.750, 0.250, 0.500)
Pd (0.599, 0.599, 0.000)
Ag (0.250, 0.750, 0.500)

Computed properties:
ΔE_f: 0.287 eV/atom
Polymorph energy (0 for the lowest one): 0.026 eV per atom
Calculated total energy: -3.566 eV per atom
Symmetry: I4/mmm (139)

***

First-principles (PBE-GGA) data for a geometry-optimized Ho3Te5Pd structure, as listed in the Open Quantum Materials Database.

abc: 8.586 8.586 3.782
angles: 90.00 90.00 120.00
Fractional coordinates of all 9 atoms:
Ho (0.361, 0.361, 0.000)
Ho (0.639, 0.000, 0.000)
Te (0.243, 0.000, 0.500)
Te (0.333, 0.667, 0.500)
Ho (0.000, 0.639, 0.000)
Te (0.000, 0.243, 0.500)
Te (0.667, 0.333, 0.500)
Pd (0.000, 0.000, 0.000)
Te (0.757, 0.757, 0.500)

Computed properties:
Polymorph energy (0 for the lowest one): 0.102 eV per atom
Calculated total energy: -4.646 eV per atom
Symmetry: P-62m (189)

***

First-principles (PBE-GGA) data for a geometry-optimized Li4HoBiO6 structure, as listed in the Open Quantum Materials Database.

abc: 5.497 5.497 5.293
angles: 99.92 99.92 120.01
Fractional coordinates of all 12 atoms:
Li (0.340, 0.660, 0.500)
O (0.402, 0.073, 0.758)
Li (0.648, 0.352, 0.500)
Li (0.015, 0.985, 0.500)
O (0.927, 0.598, 0.242)
Bi (0.167, 0.833, 0.000)
O (0.087, 0.435, 0.752)
O (0.565, 0.913, 0.248)
O (0.249, 0.234, 0.249)
Li (0.500, 0.500, 0.000)
Ho (0.834, 0.166, 0.000)
O (0.766, 0.751, 0.751)

Computed properties:
Calculated total energy: -5.812 eV per atom
Symmetry: C2 (5)

***

First-principles (PBE-GGA) data for a geometry-optimized CsAgAsAu structure, as listed in the Open Quantum Materials Database.

abc: 5.269 5.269 5.269
angles: 60.00 60.00 60.00
Fractional coordinates of all 4 atoms:
Au (0.750, 0.750, 0.750)
As (0.000, 0.000, 0.000)
Cs (0.250, 0.250, 0.250)
Ag (0.500, 0.500, 0.500)

Computed properties:
Polymorph energy (0 for the lowest one): 0.027 eV per atom
Calculated total energy: -2.458 eV per atom
Symmetry: F-43m (216)

***

First-principles (PBE-GGA) data for a geometry-optimized PrHfAsO structure, as listed in the Open Quantum Materials Database.

abc: 4.244 7.250 6.088
angles: 90.00 90.00 90.00
Fractional coordinates of all 8 atoms:
As (0.000, 0.307, 0.440)
Pr (0.000, 0.713, 0.445)
As (0.000, 0.693, 0.940)
Hf (0.500, 0.103, 0.518)
O (0.500, 0.144, 0.851)
O (0.500, 0.856, 0.351)
Hf (0.500, 0.897, 0.018)
Pr (0.000, 0.287, 0.945)

Computed properties:
Polymorph energy (0 for the lowest one): 0.232 eV per atom
Calculated total energy: -7.793 eV per atom
Symmetry: Pmc2_1 (26)

***

First-principles (PBE-GGA) data for a geometry-optimized ErSi structure, as listed in the Open Quantum Materials Database.

abc: 3.803 5.631 5.631
angles: 44.13 90.00 90.00
Fractional coordinates of all 4 atoms:
Si (0.000, 0.577, 0.577)
Si (0.500, 0.423, 0.423)
Er (0.000, 0.859, 0.859)
Er (0.500, 0.141, 0.141)

Computed properties:
Calculated total energy: -5.820 eV per atom
Symmetry: Cmcm (63)